[1]
A plane-wave DFT calculation with PBE was carried out for a relaxed structure of ScTlCd2H.

Cell: 4.5953 4.5953 4.3812 Å, 90.00 90.00 90.00°
Space group P4/mmm (No. 123)
Asymmetric unit:
Sc  0.0000  0.0000  0.0000 x1
Tl  0.5000  0.5000  0.0000 x1
Cd  0.0000  0.5000  0.5000 x2
H  0.0000  0.0000  0.5000 x1

Results
Magnetic moment (Bohr magnetons per cell): 0.0
E (eV per cell): -14.24

---

[2]
A plane-wave DFT calculation with PBE was carried out for a relaxed structure of YSc2CdH.

Cell: 4.6006 4.6006 4.7188 Å, 90.00 90.00 90.00°
Space group P4/mmm (No. 123)
Asymmetric unit:
Y  0.0000  0.0000  0.0000 x1
Sc  0.0000  0.5000  0.5000 x2
Cd  0.5000  0.5000  0.0000 x1
H  0.0000  0.0000  0.5000 x1

Results
Magnetic moment (Bohr magnetons per cell): 1.8
E (eV per cell): -24.59

---

[3]
A plane-wave DFT calculation with PBE was carried out for a relaxed structure of Y2ScCdH.

Cell: 4.8732 4.8732 4.5484 Å, 90.00 90.00 90.00°
Space group P4/mmm (No. 123)
Asymmetric unit:
Y  0.0000  0.5000  0.0000 x2
Sc  0.0000  0.0000  0.5000 x1
Cd  0.5000  0.5000  0.5000 x1
H  0.0000  0.0000  0.0000 x1

Results
Magnetic moment (Bohr magnetons per cell): 2.1
E (eV per cell): -24.71

---

[4]
A plane-wave DFT calculation with PBE was carried out for a relaxed structure of ScZn2CdH.

Cell: 4.3550 4.3550 4.0014 Å, 90.00 90.00 90.00°
Space group P4/mmm (No. 123)
Asymmetric unit:
Sc  0.0000  0.0000  0.0000 x1
Zn  0.0000  0.5000  0.5000 x2
Cd  0.5000  0.5000  0.0000 x1
H  0.0000  0.0000  0.5000 x1

Results
Magnetic moment (Bohr magnetons per cell): 0.0
E (eV per cell): -13.95